The following is a GGA-PBE calculation of crystalline La2ZrCu at its relaxed geometry, from the Alexandria database.

Calculated values
The space-group type is R-3m. For the relative energy among the computed polymorphs, the calculation gives 203 meV/atom.

Unit cell a=10.146 b=10.146 c=10.146 alpha=20.33 beta=20.33 gamma=20.33
Positions (direct):
1 La 0.008 0.008 0.008
2 La 0.492 0.492 0.492
3 Cu 0.750 0.750 0.750
4 Zr 0.250 0.250 0.250